Material: Ta2ZnCl
Method: DFT, PBE
State: optimized geometry

The calculation puts the formation energy without anion corrections at 0.269 eV per atom. Its energy above the most stable polymorph in this dataset is 330 meV per atom.

The structure belongs to space group Cmmm (No. 65); the cell edges are 2.8175, 5.4209 and 9.2790 Å and the angles 90.00°, 90.00° and 90.00°. The inequivalent atoms are Ta at (0.0000, 0.0000, 0.2432), Zn at (0.0000, 0.5000, 0.5000) and Cl at (0.0000, 0.5000, 0.0000).



Material: Hf2CuHg
Method: DFT, PBE
State: optimized geometry

The calculation puts the formation enthalpy at 0 K at -0.05 eV per atom.

The structure belongs to space group P4/mmm (No. 123); the cell edges are 3.1295, 3.1295 and 7.7889 Å and the angles 90.00°, 90.00° and 90.00°. The inequivalent atoms are Hf at (0.0000, 0.0000, 0.2232), Cu at (0.5000, 0.5000, 0.0000) and Hg at (0.5000, 0.5000, 0.5000).



Material: CsKHfCl6
Method: DFT, PBE
State: optimized geometry

The calculation puts the formation energy without anion corrections at -1.980 eV per atom.

The structure belongs to space group P-31c (No. 163); the cell edges are 7.6676, 7.6676 and 13.8450 Å and the angles 90.00°, 90.00° and 120.00°. The inequivalent atoms are Cs at (0.0000, 0.0000, 0.0000), K at (0.3333, 0.6667, 0.2500), Hf at (0.3333, 0.6667, 0.7500) and Cl at (0.0671, 0.4082, 0.6467).



Material: BeCd3Cu
Method: DFT, PBE
State: optimized geometry

Its energy above the most stable polymorph in this dataset is 237 meV per atom. The calculation puts the formation enthalpy at 0 K at 0.72 eV per atom.

The structure belongs to space group Pm-3m (No. 221); the cell edges are 4.9500, 4.9500 and 4.9500 Å and the angles 90.00°, 90.00° and 90.00°. The inequivalent atoms are Be at (0.0000, 0.0000, 0.0000), Cd at (0.0000, 0.5000, 0.5000) and Cu at (0.5000, 0.5000, 0.5000).



Material: BiIr2Rh
Method: DFT, PBE
State: optimized geometry

The calculation puts the formation enthalpy at 0 K at 0.51 eV per atom.

The structure belongs to space group I-42d (No. 122); the cell edges are 3.9539, 3.9539 and 19.1510 Å and the angles 90.00°, 90.00° and 90.00°. The inequivalent atoms are Bi at (0.0000, 0.0000, 0.0000), Ir at (0.1962, 0.2500, 0.6250) and Rh at (0.0000, 0.0000, 0.5000).



Material: PmFeH3
Method: DFT, PBE
State: optimized geometry

The calculation puts the total energy at -5.005 eV/atom.

The structure belongs to space group Pm-3m (No. 221); the cell edges are 3.6160, 3.6160 and 3.6160 Å and the angles 90.00°, 90.00° and 90.00°. The inequivalent atoms are Pm at (0.0000, 0.0000, 0.0000), Fe at (0.5000, 0.5000, 0.5000) and H at (0.0000, 0.5000, 0.5000).